Entry 1:
Density functional theory data (PBE) for a relaxed LiInSi crystal.

Cell lengths 4.7519, 4.7519, 5.9466 Å; angles 90.00, 90.00, 120.00 degrees
Space group P6_3/mmc (No. 194)
Symmetry-distinct sites (fractional):
Li  0.0000  0.0000  0.0000
In  0.3333  0.6667  0.2500
Si  0.3333  0.6667  0.7500

The value obtained for the density is 4.28 g cm⁻³. For the uncorrected formation energy, the calculation gives 0.0264 eV per atom. The calculation puts the total energy at -3.332 eV per atom.

---

Entry 2:
Density functional theory data (PBE) for a relaxed LiInSi crystal.

Cell lengths 9.688, 5.855, 4.730 Å; angles 90.00, 90.35, 90.00 degrees
Space group Cm (No. 8)
Symmetry-distinct sites (fractional):
Li  0.000  0.000  0.000
Li  0.142  0.500  0.506
In  0.186  0.000  0.503
In  0.392  0.000  0.002
Si  0.420  0.298  0.499

The value obtained for the density is 3.71 g cm⁻³. For the uncorrected formation energy, the calculation gives 0.0635 eV per atom. The calculation puts the total energy at -3.295 eV per atom.

---

Entry 3:
Density functional theory data (PBE) for a relaxed LiInSi2 crystal.

Cell lengths 9.196, 2.942, 5.370 Å; angles 90.00, 94.81, 90.00 degrees
Space group C2/m (No. 12)
Symmetry-distinct sites (fractional):
Li  0.000  0.000  0.000
In  0.000  0.500  0.500
Si  0.243  0.500  0.189

The value obtained for the density is 4.08 g cm⁻³. For the uncorrected formation energy, the calculation gives 0.1675 eV per atom. The calculation puts the total energy at -3.707 eV per atom.

---

Entry 4:
Density functional theory data (PBE) for a relaxed LiInSi crystal.

Cell lengths 3.964, 4.537, 12.578 Å; angles 90.00, 90.00, 90.00 degrees
Space group Fmm2 (No. 42)
Symmetry-distinct sites (fractional):
Li  0.000  0.000  0.000
In  0.000  0.000  0.683
Si  0.000  0.000  0.357

The value obtained for the density is 4.40 g cm⁻³. For the uncorrected formation energy, the calculation gives 0.0777 eV per atom. The calculation puts the total energy at -3.281 eV per atom.

---

Entry 5:
Density functional theory data (PBE) for a relaxed LiInSi crystal.

Cell lengths 4.4634, 4.4634, 22.2737 Å; angles 90.00, 90.00, 120.00 degrees
Space group R-3m (No. 166, hexagonal axes)
Symmetry-distinct sites (fractional):
Li  0.0000  0.0000  0.1285
In  0.0000  0.0000  0.3810
Si  0.0000  0.0000  0.2491

The value obtained for the density is 3.88 g cm⁻³. For the uncorrected formation energy, the calculation gives -0.0285 eV per atom. The calculation puts the total energy at -3.387 eV per atom.

---

Entry 6:
Density functional theory data (PBE) for a relaxed LiIn2Si2 crystal.

Cell lengths 4.514, 4.514, 11.727 Å; angles 90.00, 90.00, 90.00 degrees
Space group I4/mmm (No. 139)
Symmetry-distinct sites (fractional):
Li  0.000  0.000  0.000
In  0.000  0.000  0.381
Si  0.000  0.500  0.250

The value obtained for the density is 4.07 g cm⁻³. For the uncorrected formation energy, the calculation gives 0.2925 eV per atom. The calculation puts the total energy at -3.355 eV per atom.

---

Entry 7:
Density functional theory data (PBE) for a relaxed LiIn2Si crystal.

Cell lengths 4.399, 4.399, 8.610 Å; angles 90.00, 90.00, 90.00 degrees
Space group I4/mmm (No. 139)
Symmetry-distinct sites (fractional):
Li  0.000  0.000  0.000
In  0.000  0.500  0.250
Si  0.000  0.000  0.500

The value obtained for the density is 5.28 g cm⁻³. For the uncorrected formation energy, the calculation gives 0.0707 eV per atom. The calculation puts the total energy at -3.133 eV per atom.

---

Entry 8:
Density functional theory data (PBE) for a relaxed LiInSi crystal.

Cell lengths 4.202, 15.341, 3.688 Å; angles 90.00, 90.00, 90.00 degrees
Space group Cmcm (No. 63)
Symmetry-distinct sites (fractional):
Li  0.000  0.069  0.250
In  0.000  0.294  0.750
Si  0.000  0.449  0.250

The value obtained for the density is 4.19 g cm⁻³. For the uncorrected formation energy, the calculation gives -0.0278 eV per atom. The calculation puts the total energy at -3.386 eV per atom.

---

Entry 9:
Density functional theory data (PBE) for a relaxed LiInSi crystal.

Cell lengths 3.702, 4.281, 7.406 Å; angles 90.00, 90.00, 90.00 degrees
Space group Pmm2 (No. 25)
Symmetry-distinct sites (fractional):
Li  0.000  0.000  0.000
Li  0.000  0.500  0.432
In  0.500  0.500  0.158
In  0.500  0.500  0.757
Si  0.000  0.000  0.626
Si  0.500  0.000  0.406

The value obtained for the density is 4.24 g cm⁻³. For the uncorrected formation energy, the calculation gives -0.0251 eV per atom. The calculation puts the total energy at -3.384 eV per atom.

---

Entry 10:
Density functional theory data (PBE) for a relaxed LiInSi crystal.

Cell lengths 9.522, 3.685, 7.037 Å; angles 90.00, 94.21, 90.00 degrees
Space group C2/m (No. 12)
Symmetry-distinct sites (fractional):
Li  0.068  0.000  0.204
In  0.143  0.500  0.592
Si  0.222  0.000  0.898

The value obtained for the density is 4.04 g cm⁻³. For the uncorrected formation energy, the calculation gives -0.0178 eV per atom. The calculation puts the total energy at -3.376 eV per atom.

---

Entry 11:
Density functional theory data (PBE) for a relaxed LiInSi crystal.

Cell lengths 4.410, 4.410, 6.809 Å; angles 90.00, 90.00, 90.00 degrees
Space group P4/nmm (No. 129, origin choice 2)
Symmetry-distinct sites (fractional):
Li  0.250  0.250  0.139
In  0.250  0.750  0.500
Si  0.250  0.250  0.755

The value obtained for the density is 3.76 g cm⁻³. For the uncorrected formation energy, the calculation gives 0.0830 eV per atom. The calculation puts the total energy at -3.275 eV per atom.

---

Entry 12:
Density functional theory data (PBE) for a relaxed LiInSi2 crystal.

Cell lengths 3.597, 4.062, 10.718 Å; angles 90.00, 90.00, 90.00 degrees
Space group Imm2 (No. 44)
Symmetry-distinct sites (fractional):
Li  0.000  0.000  0.000
In  0.000  0.500  0.213
Si  0.000  0.000  0.471
Si  0.000  0.500  0.825

The value obtained for the density is 3.77 g cm⁻³. For the uncorrected formation energy, the calculation gives 0.1451 eV per atom. The calculation puts the total energy at -3.729 eV per atom.

---

Entry 13:
Density functional theory data (PBE) for a relaxed LiInSi4 crystal.

Cell lengths 7.444, 7.444, 7.444 Å; angles 90.00, 90.00, 90.00 degrees
Space group F-43m (No. 216)
Symmetry-distinct sites (fractional):
Li  0.000  0.000  0.000
In  0.250  0.250  0.250
Si  0.127  0.127  0.627

The value obtained for the density is 3.77 g cm⁻³. For the uncorrected formation energy, the calculation gives 0.2475 eV per atom. The calculation puts the total energy at -4.143 eV per atom.

---

Entry 14:
Density functional theory data (PBE) for a relaxed LiIn2Si crystal.

Cell lengths 7.045, 7.045, 7.045 Å; angles 90.00, 90.00, 90.00 degrees
Space group F-43m (No. 216)
Symmetry-distinct sites (fractional):
Li  0.000  0.000  0.000
In  0.000  0.000  0.500
In  0.250  0.250  0.750
Si  0.250  0.250  0.250

The value obtained for the density is 5.03 g cm⁻³. For the uncorrected formation energy, the calculation gives 0.1779 eV per atom. The calculation puts the total energy at -3.026 eV per atom.

---

Entry 15:
Density functional theory data (PBE) for a relaxed LiInSi2 crystal.

Cell lengths 3.042, 4.181, 5.718 Å; angles 90.00, 90.00, 90.00 degrees
Space group Pmmm (No. 47)
Symmetry-distinct sites (fractional):
Li  0.000  0.000  0.000
In  0.000  0.000  0.500
Si  0.500  0.500  0.210

The value obtained for the density is 4.06 g cm⁻³. For the uncorrected formation energy, the calculation gives 0.2105 eV per atom. The calculation puts the total energy at -3.664 eV per atom.

---

Entry 16:
Density functional theory data (PBE) for a relaxed LiInSi crystal.

Cell lengths 3.013, 4.250, 9.093 Å; angles 90.00, 90.00, 90.00 degrees
Space group Pmmm (No. 47)
Symmetry-distinct sites (fractional):
Li  0.000  0.000  0.000
Li  0.000  0.500  0.500
In  0.500  0.000  0.320
Si  0.500  0.500  0.131

The value obtained for the density is 4.27 g cm⁻³. For the uncorrected formation energy, the calculation gives 0.0172 eV per atom. The calculation puts the total energy at -3.341 eV per atom.

---

Entry 17:
Density functional theory data (PBE) for a relaxed LiInSi crystal.

Cell lengths 9.336, 2.991, 4.148 Å; angles 90.00, 90.00, 90.00 degrees
Space group Pmma (No. 51)
Symmetry-distinct sites (fractional):
Li  0.250  0.000  0.054
In  0.000  0.500  0.000
Si  0.250  0.500  0.549

The value obtained for the density is 4.30 g cm⁻³. For the uncorrected formation energy, the calculation gives 0.1340 eV per atom. The calculation puts the total energy at -3.224 eV per atom.

---

Entry 18:
Density functional theory data (PBE) for a relaxed LiIn2Si crystal.

Cell lengths 3.177, 3.177, 8.312 Å; angles 90.00, 90.00, 90.00 degrees
Space group P4/mmm (No. 123)
Symmetry-distinct sites (fractional):
Li  0.000  0.000  0.000
In  0.500  0.500  0.251
Si  0.000  0.000  0.500

The value obtained for the density is 5.24 g cm⁻³. For the uncorrected formation energy, the calculation gives 0.1001 eV per atom. The calculation puts the total energy at -3.103 eV per atom.

---

Entry 19:
Density functional theory data (PBE) for a relaxed LiIn2Si crystal.

Cell lengths 9.023, 3.700, 5.335 Å; angles 90.00, 104.38, 90.00 degrees
Space group C2/m (No. 12)
Symmetry-distinct sites (fractional):
Li  0.000  0.000  0.000
In  0.240  0.000  0.745
Si  0.000  0.500  0.500

The value obtained for the density is 5.09 g cm⁻³. For the uncorrected formation energy, the calculation gives 0.0928 eV per atom. The calculation puts the total energy at -3.111 eV per atom.

---

Entry 20:
Density functional theory data (PBE) for a relaxed LiIn2Si crystal.

Cell lengths 2.971, 4.525, 6.404 Å; angles 90.00, 90.00, 90.00 degrees
Space group Pmmm (No. 47)
Symmetry-distinct sites (fractional):
Li  0.000  0.000  0.000
In  0.500  0.500  0.241
Si  0.500  0.000  0.500

The value obtained for the density is 5.11 g cm⁻³. For the uncorrected formation energy, the calculation gives 0.0949 eV per atom. The calculation puts the total energy at -3.109 eV per atom.

---

Entry 21:
Density functional theory data (PBE) for a relaxed Li6In2Si crystal.

Cell lengths 8.0003, 8.0003, 2.9441 Å; angles 90.00, 90.00, 120.00 degrees
Space group P-62m (No. 189)
Symmetry-distinct sites (fractional):
Li  0.0000  0.3453  0.0000
Li  0.0000  0.7208  0.5000
In  0.3333  0.6667  0.5000
Si  0.0000  0.0000  0.0000

The value obtained for the density is 3.05 g cm⁻³. For the uncorrected formation energy, the calculation gives -0.2046 eV per atom. The calculation puts the total energy at -2.692 eV per atom.

---

Entry 22:
Density functional theory data (PBE) for a relaxed LiInSi crystal.

Cell lengths 5.218, 5.218, 8.344 Å; angles 90.00, 90.00, 90.00 degrees
Space group P4_122 (No. 91)
Symmetry-distinct sites (fractional):
Li  0.000  0.276  0.000
In  0.231  0.231  0.375
Si  0.297  0.500  0.750

The value obtained for the density is 4.38 g cm⁻³. For the uncorrected formation energy, the calculation gives 0.0260 eV per atom. The calculation puts the total energy at -3.332 eV per atom.

---

Entry 23:
Density functional theory data (PBE) for a relaxed LiInSi crystal.

Cell lengths 3.913, 3.665, 8.749 Å; angles 90.00, 102.35, 90.00 degrees
Space group Pm (No. 6)
Symmetry-distinct sites (fractional):
Li  0.000  0.000  0.000
Li  0.198  0.000  0.400
In  0.399  0.500  0.803
In  0.592  0.500  0.179
Si  0.745  0.500  0.499
Si  0.836  0.000  0.671

The value obtained for the density is 4.06 g cm⁻³. For the uncorrected formation energy, the calculation gives -0.0208 eV per atom. The calculation puts the total energy at -3.379 eV per atom.

---

Entry 24:
Density functional theory data (PBE) for a relaxed LiInSi crystal.

Cell lengths 4.451, 13.785, 6.300 Å; angles 90.00, 90.00, 90.00 degrees
Space group Imm2 (No. 44)
Symmetry-distinct sites (fractional):
Li  0.000  0.000  0.000
Li  0.000  0.338  0.517
In  0.000  0.000  0.509
In  0.000  0.321  0.014
Si  0.000  0.165  0.759
Si  0.000  0.500  0.765

The value obtained for the density is 3.86 g cm⁻³. For the uncorrected formation energy, the calculation gives -0.0227 eV per atom. The calculation puts the total energy at -3.381 eV per atom.

---

Entry 25:
Density functional theory data (PBE) for a relaxed Li3InSi crystal.

Cell lengths 4.943, 4.943, 4.943 Å; angles 90.00, 90.00, 90.00 degrees
Space group Pm-3m (No. 221)
Symmetry-distinct sites (fractional):
Li  0.000  0.000  0.500
In  0.000  0.000  0.000
Si  0.500  0.500  0.500

The value obtained for the density is 2.25 g cm⁻³. For the uncorrected formation energy, the calculation gives 0.5532 eV per atom. The calculation puts the total energy at -2.227 eV per atom.

---

Entry 26:
Density functional theory data (PBE) for a relaxed LiIn2Si crystal.

Cell lengths 3.3652, 3.3652, 26.3548 Å; angles 90.00, 90.00, 120.00 degrees
Space group R-3m (No. 166, hexagonal axes)
Symmetry-distinct sites (fractional):
Li  0.0000  0.0000  0.0000
In  0.0000  0.0000  0.2483
Si  0.0000  0.0000  0.5000

The value obtained for the density is 5.10 g cm⁻³. For the uncorrected formation energy, the calculation gives 0.0931 eV per atom. The calculation puts the total energy at -3.110 eV per atom.

---

Entry 27:
Density functional theory data (PBE) for a relaxed LiInSi crystal.

Cell lengths 13.404, 3.602, 5.203 Å; angles 90.00, 98.77, 90.00 degrees
Space group C2/m (No. 12)
Symmetry-distinct sites (fractional):
Li  0.155  0.000  0.346
In  0.055  0.500  0.773
Si  0.227  0.000  0.856

The value obtained for the density is 4.01 g cm⁻³. For the uncorrected formation energy, the calculation gives -0.0418 eV per atom. The calculation puts the total energy at -3.400 eV per atom.

---

Entry 28:
Density functional theory data (PBE) for a relaxed LiInSi crystal.

Cell lengths 3.064, 4.576, 4.085 Å; angles 90.00, 90.00, 90.00 degrees
Space group Pmm2 (No. 25)
Symmetry-distinct sites (fractional):
Li  0.000  0.000  0.000
In  0.500  0.500  0.995
Si  0.500  0.000  0.500

The value obtained for the density is 4.34 g cm⁻³. For the uncorrected formation energy, the calculation gives 0.1342 eV per atom. The calculation puts the total energy at -3.224 eV per atom.

---

The following Fermi-level density of states values (in states/eV per cell) correspond, in order, to the records above: 2.4 4.2 1.6 3.5 2.2 3.4 3.0 3.7 2.1 2.5 0.6 2.9 12.3 12.4 1.8 2.7 2.4 1.9 2.9 1.3 3.4 4.1 1.8 2.8 2.1 3.7 3.5 1.3.